Below is a relaxed structure of B2Ir, with properties calculated at the PBE-GGA level.

The calculated total energy is -6.340 eV per atom. Its magnetic moment is 0.0 Bohr magnetons per cell.

Lattice parameters (Å, degrees): 4.241 4.241 4.241 60.00 60.00 60.00
Element x y z (fractional)
B (0.000, 0.000, 0.000)
B (0.000, 0.000, 0.500)
B (0.000, 0.500, 0.000)
B (0.500, 0.000, 0.000)
Ir (0.375, 0.375, 0.375)
Ir (0.625, 0.625, 0.625)